[1]
# Sm3Zn2Pt4

A relaxed structure of Sm3Zn2Pt4 (GGA-PBE, the Alexandria database).

a b c (Å): 4.285 5.978 8.757
angles (deg): 113.33 90.00 111.00
Fractional positions:
Sm 0.641 0.282 0.693
Sm 0.000 0.000 0.000
Sm 0.359 0.718 0.307
Zn 0.662 0.325 0.330
Zn 0.338 0.675 0.670
Pt 0.709 0.418 0.068
Pt 0.291 0.582 0.932
Pt 0.921 0.841 0.589
Pt 0.079 0.159 0.411

Calculated values
ΔH_f (0 K) (eV per atom): -0.97
Calculated volume (Å³/cell): 190

=====

[2]
# GaINO2

A relaxed structure of GaINO2 (GGA-PBE, the Alexandria database).

a b c (Å): 4.113 4.113 4.220
angles (deg): 90.00 90.00 90.00
Fractional positions:
I 0.000 0.000 0.000
O 0.000 0.500 0.000
O 0.500 0.000 0.000
Ga 0.500 0.500 0.500
N 0.000 0.000 0.500

Calculated values
Calculated volume (Å³/cell): 71
E_form (uncorrected) (meV per atom): 606